(1)
Compound: HoMg4Co
Source: Alexandria via LeMat-Bulk
Functional: GGA-PBE
Structure: optimized geometry

calculated formation energy	0.059	eV per atom

a b c (Å): 8.361 8.361 8.361
angles (deg): 142.75 131.20 62.95
Positions (direct):
1 Ho 0.208 0.208 0.000
2 Ho 0.792 0.792 0.000
3 Mg 0.119 0.390 0.730
4 Mg 0.203 0.000 0.203
5 Mg 0.340 0.610 0.730
6 Mg 0.340 0.840 0.500
7 Mg 0.660 0.160 0.500
8 Mg 0.660 0.390 0.270
9 Mg 0.797 0.000 0.797
10 Mg 0.881 0.610 0.270
11 Co 0.500 0.286 0.786
12 Co 0.500 0.714 0.214

---

(2)
Compound: Ho2MgCo2
Source: Alexandria via LeMat-Bulk
Functional: GGA-PBE
Structure: optimized geometry

calculated formation energy	-0.188	eV per atom

a b c (Å): 5.612 5.612 7.645
angles (deg): 103.38 103.38 57.22
Positions (direct):
1 Ho 0.000 0.295 0.147
2 Ho 0.000 0.705 0.853
3 Ho 0.295 0.000 0.647
4 Ho 0.705 0.000 0.353
5 Mg 0.369 0.631 0.250
6 Mg 0.631 0.369 0.750
7 Co 0.192 0.506 0.492
8 Co 0.494 0.808 0.008
9 Co 0.506 0.192 0.992
10 Co 0.808 0.494 0.508

---

(3)
Compound: Ho8Mg2Co
Source: Alexandria via LeMat-Bulk
Functional: GGA-PBE
Structure: optimized geometry

calculated formation energy	-0.013	eV per atom

a b c (Å): 9.056 9.056 6.889
angles (deg): 110.69 110.69 35.36
Positions (direct):
1 Ho 0.012 0.012 0.275
2 Ho 0.194 0.194 0.746
3 Ho 0.362 0.362 0.581
4 Ho 0.399 0.399 0.102
5 Ho 0.601 0.601 0.898
6 Ho 0.638 0.638 0.419
7 Ho 0.806 0.806 0.254
8 Ho 0.988 0.988 0.725
9 Mg 0.184 0.184 0.197
10 Mg 0.816 0.816 0.803
11 Co 0.500 0.500 0.500